PmZnTc | PBE-GGA | optimized geometry

Computed properties:
Energy relative to the elements = 0.460 eV/atom
Theoretical density = 7.768 Mg/m³
Spin magnetization = 0.7 μB per formula unit
E = -5.00 eV per atom
Polymorph energy (0 for the lowest one) = 0.0 meV/atom
Symmetry = F-43m, No. 216

abc: 4.535 4.535 4.535
angles: 60.00 60.00 60.00
Element x y z (fractional)
Pm1 0.250 0.250 0.250
Zn1 0.000 0.000 0.000
Tc1 0.750 0.750 0.750